# PBE-GGA PuZrZn2, relaxed
# Theoretical density: 9.737 Mg/m³
# M_tot: 5.64 μB per formula unit
# Total energy: -26.024 eV/cell
data_PuZrZn2
_chemical_formula_sum 'Pu1 Zr1 Zn2'
_cell_length_a 3.077
_cell_length_b 3.077
_cell_length_c 8.396
_cell_angle_alpha 90.00
_cell_angle_beta 90.00
_cell_angle_gamma 90.00
_symmetry_space_group_name_H-M 'P 1'
_symmetry_Int_Tables_number 1
_symmetry_space_group_name_Hall 'P 1'
loop_
_atom_site_label
_atom_site_fract_x
_atom_site_fract_y
_atom_site_fract_z
Zn1 0.000 0.000 0.768
Zn2 0.000 0.000 0.232
Zr1 0.500 0.500 0.000
Pu1 0.500 0.500 0.500

# PBE-GGA Pu2ZrZn6, relaxed
# Theoretical density: 9.745 Mg/m³
# M_tot: 10.83 μB per formula unit
# Total energy: -46.694 eV/cell
data_Pu2ZrZn6
_chemical_formula_sum 'Pu2 Zr1 Zn6'
_cell_length_a 2.973
_cell_length_b 8.019
_cell_length_c 8.019
_cell_angle_alpha 60.00
_cell_angle_beta 90.00
_cell_angle_gamma 90.00
_symmetry_space_group_name_H-M 'P 1'
_symmetry_Int_Tables_number 1
_symmetry_space_group_name_Hall 'P 1'
loop_
_atom_site_label
_atom_site_fract_x
_atom_site_fract_y
_atom_site_fract_z
Pu1 0.000 0.333 0.333
Pu2 0.000 0.667 0.667
Zr1 0.000 0.000 0.000
Zn1 0.500 0.675 0.000
Zn2 0.500 0.000 0.325
Zn3 0.500 0.325 0.000
Zn4 0.500 0.675 0.325
Zn5 0.500 0.000 0.675
Zn6 0.500 0.325 0.675

# PBE-GGA PuZr2Zn, relaxed
# Theoretical density: 9.543 Mg/m³
# M_tot: 5.26 μB per formula unit
# Total energy: -32.980 eV/cell
data_PuZr2Zn
_chemical_formula_sum 'Pu1 Zr2 Zn1'
_cell_length_a 3.243
_cell_length_b 3.243
_cell_length_c 8.135
_cell_angle_alpha 90.00
_cell_angle_beta 90.00
_cell_angle_gamma 90.00
_symmetry_space_group_name_H-M 'P 1'
_symmetry_Int_Tables_number 1
_symmetry_space_group_name_Hall 'P 1'
loop_
_atom_site_label
_atom_site_fract_x
_atom_site_fract_y
_atom_site_fract_z
Zn1 0.500 0.500 0.500
Zr1 0.000 0.000 0.722
Zr2 0.000 0.000 0.278
Pu1 0.500 0.500 0.000

# PBE-GGA PuZr2Zn, relaxed
# Theoretical density: 9.615 Mg/m³
# M_tot: 6.43 μB per formula unit
# Total energy: -32.296 eV/cell
data_PuZr2Zn
_chemical_formula_sum 'Pu1 Zr2 Zn1'
_cell_length_a 4.934
_cell_length_b 4.934
_cell_length_c 4.934
_cell_angle_alpha 60.00
_cell_angle_beta 60.00
_cell_angle_gamma 60.00
_symmetry_space_group_name_H-M 'P 1'
_symmetry_Int_Tables_number 1
_symmetry_space_group_name_Hall 'P 1'
loop_
_atom_site_label
_atom_site_fract_x
_atom_site_fract_y
_atom_site_fract_z
Zn1 0.000 0.000 0.000
Zr1 0.250 0.250 0.250
Zr2 0.750 0.750 0.750
Pu1 0.500 0.500 0.500

# PBE-GGA PuZr12Zn3, relaxed
# Theoretical density: 7.441 Mg/m³
# M_tot: 5.04 μB per formula unit
# Total energy: -121.923 eV/cell
data_PuZr12Zn3
_chemical_formula_sum 'Pu1 Zr12 Zn3'
_cell_length_a 4.411
_cell_length_b 4.411
_cell_length_c 17.607
_cell_angle_alpha 90.00
_cell_angle_beta 90.00
_cell_angle_gamma 90.00
_symmetry_space_group_name_H-M 'P 1'
_symmetry_Int_Tables_number 1
_symmetry_space_group_name_Hall 'P 1'
loop_
_atom_site_label
_atom_site_fract_x
_atom_site_fract_y
_atom_site_fract_z
Pu1 0.000 0.000 0.000
Zr1 0.500 0.500 0.000
Zr2 0.500 0.500 0.256
Zr3 0.500 0.500 0.500
Zr4 0.500 0.500 0.744
Zr5 0.500 0.000 0.131
Zr6 0.500 0.000 0.378
Zr7 0.500 0.000 0.622
Zr8 0.500 0.000 0.869
Zr9 0.000 0.500 0.131
Zr10 0.000 0.500 0.378
Zr11 0.000 0.500 0.622
Zr12 0.000 0.500 0.869
Zn1 0.000 0.000 0.255
Zn2 0.000 0.000 0.500
Zn3 0.000 0.000 0.745

# PBE-GGA PuZr2Zn, relaxed
# Theoretical density: 9.263 Mg/m³
# M_tot: 4.89 μB per formula unit
# Total energy: -32.455 eV/cell
data_PuZr2Zn
_chemical_formula_sum 'Pu1 Zr2 Zn1'
_cell_length_a 3.239
_cell_length_b 3.239
_cell_length_c 9.886
_cell_angle_alpha 80.57
_cell_angle_beta 80.57
_cell_angle_gamma 60.00
_symmetry_space_group_name_H-M 'P 1'
_symmetry_Int_Tables_number 1
_symmetry_space_group_name_Hall 'P 1'
loop_
_atom_site_label
_atom_site_fract_x
_atom_site_fract_y
_atom_site_fract_z
Pu1 0.500 0.500 0.501
Zr1 0.078 0.078 0.767
Zr2 0.256 0.256 0.232
Zn1 0.667 0.667 0.000

# PBE-GGA PuZr2Zn, relaxed
# Theoretical density: 9.697 Mg/m³
# M_tot: 5.09 μB per formula unit
# Total energy: -32.780 eV/cell
data_PuZr2Zn
_chemical_formula_sum 'Pu1 Zr2 Zn1'
_cell_length_a 4.069
_cell_length_b 4.550
_cell_length_c 4.550
_cell_angle_alpha 90.00
_cell_angle_beta 90.00
_cell_angle_gamma 90.00
_symmetry_space_group_name_H-M 'P 1'
_symmetry_Int_Tables_number 1
_symmetry_space_group_name_Hall 'P 1'
loop_
_atom_site_label
_atom_site_fract_x
_atom_site_fract_y
_atom_site_fract_z
Zn1 0.500 0.000 0.000
Zr1 0.000 0.000 0.500
Zr2 0.000 0.500 0.000
Pu1 0.500 0.500 0.500

# PBE-GGA PuZr2, relaxed
# Theoretical density: 10.080 Mg/m³
# M_tot: 5.09 μB per formula unit
# Total energy: -124.867 eV/cell
data_PuZr2
_chemical_formula_sum 'Pu4 Zr8'
_cell_length_a 3.133
_cell_length_b 8.797
_cell_length_c 10.196
_cell_angle_alpha 90.00
_cell_angle_beta 90.00
_cell_angle_gamma 90.00
_symmetry_space_group_name_H-M 'P 1'
_symmetry_Int_Tables_number 1
_symmetry_space_group_name_Hall 'P 1'
loop_
_atom_site_label
_atom_site_fract_x
_atom_site_fract_y
_atom_site_fract_z
Pu1 0.250 0.752 0.374
Pu2 0.750 0.748 0.874
Pu3 0.250 0.252 0.126
Pu4 0.750 0.248 0.626
Zr1 0.250 0.077 0.871
Zr2 0.750 0.423 0.371
Zr3 0.250 0.577 0.629
Zr4 0.750 0.923 0.129
Zr5 0.250 0.090 0.380
Zr6 0.750 0.410 0.880
Zr7 0.250 0.590 0.120
Zr8 0.750 0.910 0.620

Fermi-level density of states readings, ordered: 1.64 1.55 1.13 2.99 1.02 1.88 2.08 3.00 states/eV/atom